Crystalline TcNi2AgF at its relaxed geometry, computed with GGA+U.

a b c (Å): 4.8438 4.8438 4.0561
angles (deg): 90.00 90.00 90.00
Last column: nearest neighbours and their distance in Å.
Element x y z (fractional)
Tc (0.0000, 0.0000, 0.0000)  8 Ni 3.16, 4 F 3.43
Ni (0.0000, 0.5000, 0.5000)  2 Ag 2.42
Ni (0.5000, 0.0000, 0.5000)  2 Ag 2.42
Ag (0.5000, 0.5000, 0.5000)  2 F 2.03
F (0.5000, 0.5000, 0.0000)  2 Ag 2.03

Calculated values
* calculated volume: 19.03 Å³/atom
* DOS(E_F): 3.37 states/eV/f.u.
* VASP energy: -14.2 eV per formula unit
* symmetry: P4/mmm (123)